# 1
Compound: Ni2SeO
Source: Alexandria
Functional: GGA+U
Structure: relaxed

Total energy, eV per atom: -2.7001

a b c (Å): 3.9764 3.9764 3.9764
angles (deg): 60.00 60.00 60.00
Element x y z (fractional)
Ni 0.2500 0.2500 0.2500
Ni 0.7500 0.7500 0.7500
Se 0.0000 0.0000 0.0000
O 0.5000 0.5000 0.5000

=====

# 2
Compound: NiSe2O5
Source: Alexandria
Functional: GGA+U
Structure: relaxed

Total energy, eV per atom: -5.1620

a b c (Å): 6.9029 10.4757 6.0598
angles (deg): 90.00 90.00 90.00
Element x y z (fractional)
Ni 0.0000 0.0640 0.2500
Ni 0.0000 0.9360 0.7500
Ni 0.5000 0.4360 0.7500
Ni 0.5000 0.5640 0.2500
Se 0.1358 0.3456 0.0294
Se 0.1358 0.6544 0.5294
Se 0.3642 0.1544 0.5294
Se 0.3642 0.8456 0.0294
Se 0.6358 0.1544 0.9706
Se 0.6358 0.8456 0.4706
Se 0.8642 0.3456 0.4706
Se 0.8642 0.6544 0.9706
O 0.0000 0.4330 0.2500
O 0.0000 0.5670 0.7500
O 0.1527 0.0681 0.5488
O 0.1527 0.9319 0.0488
O 0.1959 0.2070 0.1591
O 0.1959 0.7930 0.6591
O 0.3041 0.2930 0.6591
O 0.3041 0.7070 0.1591
O 0.3473 0.4319 0.0488
O 0.3473 0.5681 0.5488
O 0.5000 0.0670 0.7500
O 0.5000 0.9330 0.2500
O 0.6527 0.4319 0.4512
O 0.6527 0.5681 0.9512
O 0.6959 0.2930 0.8409
O 0.6959 0.7070 0.3409
O 0.8041 0.2070 0.3409
O 0.8041 0.7930 0.8409
O 0.8473 0.0681 0.9512
O 0.8473 0.9319 0.4512

=====

# 3
Compound: NiSeO3
Source: Alexandria
Functional: GGA+U
Structure: relaxed

Total energy, eV per atom: -5.1049

a b c (Å): 5.9416 7.6329 5.0143
angles (deg): 90.00 90.00 90.00
Element x y z (fractional)
Ni 0.0000 0.0000 0.0000
Ni 0.0000 0.5000 0.0000
Ni 0.5000 0.0000 0.5000
Ni 0.5000 0.5000 0.5000
Se 0.0194 0.2500 0.4814
Se 0.4806 0.7500 0.9814
Se 0.5194 0.2500 0.0186
Se 0.9806 0.7500 0.5186
O 0.0734 0.2500 0.8249
O 0.1831 0.0752 0.3587
O 0.1831 0.4248 0.3587
O 0.3169 0.5752 0.8587
O 0.3169 0.9248 0.8587
O 0.4266 0.7500 0.3249
O 0.5734 0.2500 0.6751
O 0.6831 0.0752 0.1413
O 0.6831 0.4248 0.1413
O 0.8169 0.5752 0.6413
O 0.8169 0.9248 0.6413
O 0.9266 0.7500 0.1751

=====

# 4
Compound: NiSe3O9
Source: Alexandria
Functional: GGA+U
Structure: relaxed

Total energy, eV per atom: -5.0554

a b c (Å): 7.7515 7.7515 10.1174
angles (deg): 117.52 117.52 48.88
Element x y z (fractional)
Ni 0.2362 0.7638 0.5000
Ni 0.7638 0.2362 0.0000
Se 0.2162 0.9936 0.2723
Se 0.3365 0.4541 0.7123
Se 0.4541 0.3365 0.2123
Se 0.7387 0.7476 0.2382
Se 0.7476 0.7387 0.7382
Se 0.9936 0.2162 0.7723
O 0.0006 0.1173 0.5896
O 0.1173 0.0006 0.0896
O 0.1656 0.8352 0.3004
O 0.1823 0.2323 0.3996
O 0.2323 0.1823 0.8996
O 0.2889 0.6828 0.6888
O 0.4169 0.4812 0.9011
O 0.4812 0.4169 0.4011
O 0.4941 0.8416 0.6097
O 0.5397 0.7699 0.2981
O 0.5789 0.9714 0.1539
O 0.6828 0.2889 0.1888
O 0.7523 0.9355 0.8986
O 0.7699 0.5397 0.7981
O 0.8352 0.1656 0.8004
O 0.8416 0.4941 0.1097
O 0.9355 0.7523 0.3986
O 0.9714 0.5789 0.6539

=====

# 5
Compound: NiSeO5
Source: Alexandria
Functional: GGA+U
Structure: relaxed

Total energy, eV per atom: -4.7495

a b c (Å): 5.4146 5.4146 6.8488
angles (deg): 104.70 104.70 100.97
Element x y z (fractional)
Ni 0.0000 0.0000 0.0000
Ni 0.0000 0.0000 0.5000
Se 0.3200 0.6800 0.7500
Se 0.6800 0.3200 0.2500
O 0.0836 0.9164 0.2500
O 0.0857 0.6773 0.8745
O 0.2473 0.3816 0.5723
O 0.3227 0.9143 0.6255
O 0.3816 0.2473 0.0723
O 0.6184 0.7527 0.9277
O 0.6773 0.0857 0.3745
O 0.7527 0.6184 0.4277
O 0.9143 0.3227 0.1255
O 0.9164 0.0836 0.7500

=====

# 6
Compound: SmNi3Se4O12
Source: Alexandria
Functional: GGA+U
Structure: relaxed

Total energy, eV per atom: -5.1894

a b c (Å): 6.6810 6.6810 6.6810
angles (deg): 105.62 105.62 105.62
Element x y z (fractional)
Sm 0.0000 0.0000 0.0000
Ni 0.0000 0.5781 0.4219
Ni 0.4219 0.0000 0.5781
Ni 0.5781 0.4219 0.0000
Se 0.1073 0.5000 0.8927
Se 0.5000 0.5000 0.5000
Se 0.5000 0.8927 0.1073
Se 0.8927 0.1073 0.5000
O 0.0068 0.2535 0.3311
O 0.0545 0.9455 0.5000
O 0.2535 0.3311 0.0068
O 0.3254 0.6746 0.5000
O 0.3311 0.0068 0.2535
O 0.5000 0.0545 0.9455
O 0.5000 0.3254 0.6746
O 0.6689 0.7465 0.9932
O 0.6746 0.5000 0.3254
O 0.7465 0.9932 0.6689
O 0.9455 0.5000 0.0545
O 0.9932 0.6689 0.7465

=====

# 7
Compound: SmNiSe2O8
Source: Alexandria
Functional: GGA+U
Structure: relaxed

Total energy, eV per atom: -5.6848

a b c (Å): 5.5429 5.5429 6.7219
angles (deg): 90.00 90.00 120.00
Element x y z (fractional)
Sm 0.0000 0.0000 0.0000
Ni 0.0000 0.0000 0.5000
Se 0.3333 0.6667 0.2305
Se 0.6667 0.3333 0.7695
O 0.1553 0.3106 0.2871
O 0.1553 0.8447 0.2871
O 0.3106 0.1553 0.7129
O 0.3333 0.6667 0.9811
O 0.6667 0.3333 0.0189
O 0.6894 0.8447 0.2871
O 0.8447 0.1553 0.7129
O 0.8447 0.6894 0.7129

=====

# 8
Compound: Sr3NiSe2O8
Source: Alexandria
Functional: GGA+U
Structure: relaxed

Total energy, eV per atom: -5.3977

a b c (Å): 5.6932 5.6932 7.4321
angles (deg): 90.00 90.00 120.00
Element x y z (fractional)
Sr 0.0000 0.0000 0.0000
Sr 0.3333 0.6667 0.6288
Sr 0.6667 0.3333 0.3712
Ni 0.0000 0.0000 0.5000
Se 0.3333 0.6667 0.1983
Se 0.6667 0.3333 0.8017
O 0.1649 0.3298 0.3247
O 0.1649 0.8351 0.3247
O 0.3298 0.1649 0.6753
O 0.3333 0.6667 0.9432
O 0.6667 0.3333 0.0568
O 0.6702 0.8351 0.3247
O 0.8351 0.1649 0.6753
O 0.8351 0.6702 0.6753

=====

# 9
Compound: SrNiSeO6
Source: Alexandria
Functional: GGA+U
Structure: relaxed

Total energy, eV per atom: -5.3592

a b c (Å): 4.9049 4.9049 5.4662
angles (deg): 90.00 90.00 120.00
Element x y z (fractional)
Sr 0.0000 0.0000 0.0000
Ni 0.3333 0.6667 0.5000
Se 0.6667 0.3333 0.5000
O 0.3853 0.0093 0.6906
O 0.3853 0.3759 0.3094
O 0.6241 0.0093 0.3094
O 0.6241 0.6147 0.6906
O 0.9907 0.3759 0.6906
O 0.9907 0.6147 0.3094